Here is crystalline Ba8Cd2Ga at its relaxed geometry from Alexandria. Energies are from PBE-GGA.

Unit cell a=6.7063 b=11.8084 c=11.8084 alpha=138.28 beta=99.57 gamma=99.57
With the nearest neighbours (Å) after each atom.
Element x y z (fractional)
Ba 0.6024 0.4141 0.1667  1 Ga 3.39, 2 Cd 3.53-3.66
Ba 0.6024 0.1667 0.4141  1 Ga 3.39, 2 Cd 3.53-3.66
Ba 0.0543 0.2348 0.2348  2 Ga 3.50-3.91, 1 Ba 3.85
Ba 0.9626 0.2033 0.7954  2 Cd 3.55-3.60
Ba 0.9626 0.7954 0.2033  2 Cd 3.55-3.60
Ba 0.8365 0.7225 0.7225  1 Ga 3.42
Ba 0.3270 0.8470 0.6089  1 Ga 3.50, 2 Cd 3.61-3.74
Ba 0.3270 0.6089 0.8470  1 Ga 3.50, 2 Cd 3.61-3.74
Ga 0.3973 0.0242 0.0242  6 Ba 3.39-3.50
Cd 0.4637 0.7489 0.2680  6 Ba 3.53-3.74
Cd 0.4637 0.2680 0.7489  6 Ba 3.53-3.74

Computed properties:
**Magnetic moment**: 0.00 μB per cell
**Energy of formation from the pure elements**: -0.129 eV/atom
**Energy relative to the lowest polymorph listed for this composition**: 32 meV per atom

---

Here is crystalline RbDySnTe3 at its relaxed geometry from Alexandria. Energies are from PBE-GGA.

Unit cell a=4.4457 b=9.5715 c=11.9784 alpha=109.48 beta=90.00 gamma=90.00
With the nearest neighbours (Å) after each atom.
Element x y z (fractional)
Rb 0.7500 0.7781 0.7330  5 Te 3.68-3.92, 1 Sn 3.86
Rb 0.2500 0.2219 0.2670  5 Te 3.68-3.92, 1 Sn 3.86
Dy 0.2500 0.6326 0.1550  6 Te 3.06-3.15
Dy 0.7500 0.3674 0.8450  6 Te 3.06-3.15
Sn 0.2500 0.1302 0.5572  3 Te 2.87-3.00
Sn 0.7500 0.8698 0.4428  3 Te 2.87-3.00
Te 0.2500 0.6527 0.4226  2 Sn 3.00, 1 Dy 3.15
Te 0.7500 0.8778 0.2052  1 Sn 2.87, 2 Dy 3.14
Te 0.7500 0.3976 0.1077  3 Dy 3.06-3.08
Te 0.7500 0.3473 0.5774  2 Sn 3.00, 1 Dy 3.15
Te 0.2500 0.6024 0.8923  3 Dy 3.06-3.08
Te 0.2500 0.1222 0.7948  1 Sn 2.87, 2 Dy 3.14

Computed properties:
**Magnetic moment**: 0.00 μB per cell
**ΔE_f (raw)**: -1004.4 meV/atom

---

Here is crystalline Zr2InNi at its relaxed geometry from Alexandria. Energies are from PBE-GGA.

Unit cell a=8.9978 b=8.9978 c=8.9978 alpha=21.07 beta=21.07 gamma=21.07
With the nearest neighbours (Å) after each atom.
Element x y z (fractional)
In 0.4881 0.4881 0.4881  3 Ni 2.72
Ni 0.7478 0.7478 0.7478  3 Zr 2.62, 3 In 2.72
Zr 0.0125 0.0125 0.0125  3 Ni 2.62
Zr 0.2516 0.2516 0.2516  9 Zr 3.13-3.29, 3 In 3.18

Computed properties:
**Magnetic moment**: 0.00 μB per cell
**Energy of formation from the pure elements**: -0.053 eV/atom

---

> Which value of magnetic moment does entry 1 give?

0.00 μB per cell